1.
! PBE K5Y2Si4O13F, optimized geometry; values from VASP
&SYSTEM
  ibrav = 0, nat = 50, ntyp = 5
/
ATOMIC_SPECIES
K 39.10 K.upf
O 16.00 O.upf
Si 28.09 Si.upf
Y 88.91 Y.upf
F 19.00 F.upf
CELL_PARAMETERS angstrom
5.837 0.000 0.000
0.000 7.242 -0.003
0.000 0.676 18.280
ATOMIC_POSITIONS crystal
K 0.750 0.867 0.307
K 0.250 0.800 0.006
K 0.250 0.794 0.815
K 0.250 0.522 0.252
K 0.250 0.262 0.490
K 0.750 0.200 0.994
K 0.750 0.206 0.185
K 0.750 0.478 0.748
K 0.250 0.133 0.693
K 0.750 0.738 0.510
O 0.017 0.204 0.330
O 0.015 0.870 0.144
O 0.250 0.686 0.513
O 0.517 0.796 0.670
O 0.250 0.223 0.007
O 0.982 0.377 0.611
O 0.750 0.777 0.993
O 0.518 0.377 0.611
O 0.984 0.546 0.906
O 0.250 0.933 0.264
O 0.485 0.870 0.144
O 0.482 0.623 0.389
O 0.750 0.058 0.593
O 0.750 0.815 0.844
O 0.515 0.130 0.856
O 0.484 0.454 0.094
O 0.750 0.067 0.736
O 0.016 0.454 0.094
O 0.483 0.204 0.330
O 0.018 0.623 0.389
O 0.250 0.185 0.156
O 0.983 0.796 0.670
O 0.985 0.130 0.856
O 0.516 0.546 0.906
O 0.750 0.314 0.487
O 0.250 0.942 0.407
Si 0.250 0.959 0.173
Si 0.250 0.082 0.332
Si 0.750 0.918 0.668
Si 0.750 0.665 0.917
Si 0.250 0.335 0.083
Si 0.750 0.041 0.827
Si 0.750 0.290 0.576
Si 0.250 0.710 0.424
Y 0.250 0.333 0.890
Y 0.250 0.598 0.629
Y 0.750 0.402 0.371
Y 0.750 0.667 0.110
F 0.250 0.462 0.757
F 0.750 0.538 0.243
! Total moment   0.00 μB per cell
! E_form (uncorrected)   -2.796 eV per atom
! SG   P2_1/m, No. 11
! N(E_F)   0.000 states/eV/atom

2.
! PBE K9Y3Si12O32F2, optimized geometry; values from VASP
&SYSTEM
  ibrav = 0, nat = 58, ntyp = 5
/
ATOMIC_SPECIES
Si 28.09 Si.upf
O 16.00 O.upf
K 39.10 K.upf
Y 88.91 Y.upf
F 19.00 F.upf
CELL_PARAMETERS angstrom
6.927 0.005 -0.005
-1.902 11.371 0.006
0.043 -0.423 11.523
ATOMIC_POSITIONS crystal
Si 0.441 0.231 0.490
Si 0.662 0.133 0.690
Si 0.656 0.092 0.303
Si 0.559 0.769 0.510
Si 0.712 0.332 0.878
Si 0.014 0.488 0.743
Si 0.288 0.668 0.122
Si 0.309 0.695 0.841
Si 0.986 0.512 0.257
Si 0.338 0.867 0.310
Si 0.344 0.908 0.697
Si 0.691 0.305 0.159
O 0.305 0.685 0.982
O 0.545 0.003 0.728
O 0.539 0.396 0.833
O 0.611 0.187 0.405
O 0.305 0.835 0.819
O 0.505 0.203 0.625
O 0.189 0.430 0.685
O 0.093 0.625 0.793
O 0.836 0.493 0.653
O 0.468 0.375 0.488
O 0.145 0.878 0.383
O 0.855 0.122 0.617
O 0.695 0.315 0.018
O 0.695 0.165 0.181
O 0.717 0.201 0.817
O 0.225 0.163 0.459
O 0.067 0.588 0.140
O 0.775 0.837 0.541
O 0.933 0.412 0.860
O 0.907 0.375 0.207
O 0.811 0.570 0.315
O 0.461 0.604 0.167
O 0.495 0.797 0.375
O 0.532 0.625 0.512
O 0.494 0.647 0.785
O 0.159 0.967 0.665
O 0.164 0.507 0.347
O 0.389 0.813 0.595
O 0.455 0.997 0.272
O 0.841 0.033 0.335
O 0.506 0.353 0.215
O 0.283 0.799 0.183
K 0.831 0.808 0.223
K 0.271 0.384 0.017
K 0.160 0.152 0.213
K 0.169 0.192 0.777
K 0.021 0.670 0.509
K 0.500 0.000 0.000
K 0.729 0.616 0.983
K 0.840 0.848 0.787
K 0.979 0.330 0.491
Y 0.512 0.491 0.663
Y 0.000 0.000 0.500
Y 0.488 0.509 0.337
F 0.243 0.157 0.995
F 0.757 0.843 0.005
! Total moment   0.00 μB per cell
! E_form (uncorrected)   -2.804 eV per atom
! SG   P-1, No. 2
! N(E_F)   0.000 states/eV/atom

3.
! PBE KSnOF2, optimized geometry; values from VASP
&SYSTEM
  ibrav = 0, nat = 5, ntyp = 4
/
ATOMIC_SPECIES
F 19.00 F.upf
K 39.10 K.upf
Sn 118.71 Sn.upf
O 16.00 O.upf
CELL_PARAMETERS angstrom
4.607 0.000 0.000
0.000 4.607 0.000
0.000 0.000 4.150
ATOMIC_POSITIONS crystal
F 0.000 0.500 0.000
F 0.500 0.000 0.000
K 0.500 0.500 0.500
Sn 0.000 0.000 0.000
O 0.000 0.000 0.500
! Total moment   0.00 μB per cell
! E_form (uncorrected)   -2.118 eV per atom
! SG   P4/mmm, No. 123
! N(E_F)   0.104 states/eV/atom
! Distance to the lowest polymorph of the same formula   0.0 meV per atom

4.
! PBE KSnOF2, optimized geometry; values from VASP
&SYSTEM
  ibrav = 0, nat = 5, ntyp = 4
/
ATOMIC_SPECIES
K 39.10 K.upf
O 16.00 O.upf
Sn 118.71 Sn.upf
F 19.00 F.upf
CELL_PARAMETERS angstrom
-4.376 1.451 0.331
-1.445 -3.896 -2.025
-0.358 -2.030 4.161
ATOMIC_POSITIONS crystal
K 0.000 0.000 0.000
O 0.000 0.000 0.500
Sn 0.500 0.500 0.500
F 0.500 0.000 0.000
F 0.000 0.500 0.000
! Total moment   1.00 μB per cell
! E_form (uncorrected)   -0.977 eV per atom
! SG   P4/mmm, No. 123
! N(E_F)   0.000 states/eV/atom
! Distance to the lowest polymorph of the same formula   1141.3 meV per atom